First-principles (PBE+U) data for TiCrSF2 after structural relaxation, as listed in the Alexandria database.

Calculated values
Its space group is No. 123. As for the magnetization: 1.20 μB/atom. For the final energy, the calculation gives -32.8 eV per cell.

```
TiCrSF2
1.0
3.939 0.000 0.000
0.000 3.939 0.000
0.000 0.000 5.101
Ti Cr S F
1 1 1 2
Direct
0.000 0.000 0.000
0.500 0.500 0.500
0.000 0.000 0.500
0.000 0.500 0.000
0.500 0.000 0.000
```